A plane-wave DFT calculation with PBE was carried out for a relaxed structure of Mn2VGa.

abc: 4.0171 4.0171 3.0633
angles: 90.00 90.00 90.00
Last column: nearest neighbours and their distance in Å.
Atoms (fractional coordinates):
1 Mn 0.0000 0.5000 0.0000  4 Ga 2.53, 4 V 2.53
2 Mn 0.5000 0.0000 0.0000  4 Ga 2.53, 4 V 2.53
3 V 0.0000 0.0000 0.5000  8 Mn 2.53
4 Ga 0.5000 0.5000 0.5000  8 Mn 2.53

Results
* SG: No. 123
* energy of formation from the pure elements: -0.207 eV/atom
* ρ: 7744 kg/m3